1) AgSbAs2: optimized geometry, PBE.

Properties
Its spin magnetization is 0.00 μB/cell. As for the symmetry: Pmmm, No. 47.

Cell lengths 3.022, 4.458, 6.506 Å; angles 90.00, 90.00, 90.00 degrees
Positions (direct):
Ag 0.000 0.000 0.000
Sb 0.000 0.000 0.500
As 0.500 0.500 0.201
As 0.500 0.500 0.799



2) AgSbAs2: optimized geometry, PBE.

Properties
Its spin magnetization is 0.00 μB/cell. As for the symmetry: Cm, No. 8.

Cell lengths 6.177, 6.177, 4.324 Å; angles 107.77, 107.77, 34.84 degrees
Positions (direct):
Ag 0.000 0.000 0.000
Sb 0.804 0.804 0.290
As 0.199 0.199 0.777
As 0.518 0.518 0.505



Most stable: 2). Least stable: 1).



1) Ag2SbAs2: optimized geometry, PBE.

Properties
Its spin magnetization is 0.00 μB/cell. As for the symmetry: P4/mbm, No. 127.

Cell lengths 8.289, 8.289, 3.067 Å; angles 90.00, 90.00, 90.00 degrees
Positions (direct):
Ag 0.121 0.379 0.000
Ag 0.379 0.879 0.000
Ag 0.621 0.121 0.000
Ag 0.879 0.621 0.000
Sb 0.000 0.000 0.500
Sb 0.500 0.500 0.500
As 0.180 0.680 0.500
As 0.320 0.180 0.500
As 0.680 0.820 0.500
As 0.820 0.320 0.500



2) Ag2SbAs2: optimized geometry, PBE.

Properties
Its spin magnetization is 0.00 μB/cell. As for the symmetry: P4/mbm, No. 127.

Cell lengths 8.297, 8.297, 3.019 Å; angles 90.00, 90.00, 90.00 degrees
Positions (direct):
Ag 0.157 0.343 0.000
Ag 0.343 0.843 0.000
Ag 0.657 0.157 0.000
Ag 0.843 0.657 0.000
Sb 0.000 0.000 0.000
Sb 0.500 0.500 0.000
As 0.137 0.637 0.500
As 0.363 0.137 0.500
As 0.637 0.863 0.500
As 0.863 0.363 0.500



3) Ag2SbAs2: optimized geometry, PBE.

Properties
Its spin magnetization is 0.00 μB/cell. As for the symmetry: I4/mmm, No. 139.

Cell lengths 6.291, 6.291, 6.291 Å; angles 137.84, 137.84, 61.15 degrees
Positions (direct):
Ag 0.250 0.750 0.500
Ag 0.750 0.250 0.500
Sb 0.000 0.000 0.000
As 0.388 0.388 0.000
As 0.612 0.612 0.000



Most stable: 1). Least stable: 3).